# PBE Ca4Np3BeN8, optimized geometry
# - Formation energy from raw total energies: -0.9494 eV/atom
data_Ca4Np3BeN8
_space_group_name_H-M_alt 'C 1 2/m 1'
_space_group_IT_number 12
_space_group_name_Hall '-C 2y'
_cell_length_a 11.8338
_cell_length_b 6.7238
_cell_length_c 6.8609
_cell_angle_alpha 90.00
_cell_angle_beta 124.38
_cell_angle_gamma 90.00
loop_
_atom_site_label
_atom_site_fract_x
_atom_site_fract_y
_atom_site_fract_z
Ca1 0.0000 0.0000 0.0000
Ca2 0.0000 0.5000 0.0000
Ca3 0.2500 0.2500 0.0000
Np1 0.0000 0.0000 0.5000
Np2 0.2500 0.2500 0.5000
Be1 0.0000 0.5000 0.5000
N1 0.0147 0.2465 0.2904
N2 0.2414 0.0000 0.7237
N3 0.2493 0.5000 0.7193

=====

# PBE LaAgBiPt, optimized geometry
# - Formation energy: -2.231 eV/f.u.
data_LaAgBiPt
_space_group_name_H-M_alt 'F -4 3 m'
_space_group_IT_number 216
_space_group_name_Hall 'F -4 2 3'
_cell_length_a 7.2545
_cell_length_b 7.2545
_cell_length_c 7.2545
_cell_angle_alpha 90.00
_cell_angle_beta 90.00
_cell_angle_gamma 90.00
loop_
_atom_site_label
_atom_site_fract_x
_atom_site_fract_y
_atom_site_fract_z
La1 0.0000 0.0000 0.0000
Ag1 0.2500 0.2500 0.2500
Bi1 0.0000 0.0000 0.5000
Pt1 0.2500 0.2500 0.7500